[1]
Computed, not measured: a geometry-optimized FeCo2Ge4 structure at the PBE level of DFT.

Cell lengths 6.553, 6.553, 6.553 Å; angles 140.05, 140.05, 57.77 degrees
Atoms (fractional coordinates):
Fe 0.000 0.000 0.000
Co 0.397 0.397 0.000
Co 0.603 0.603 0.000
Ge 0.000 0.500 0.500
Ge 0.201 0.201 0.000
Ge 0.500 0.000 0.500
Ge 0.799 0.799 0.000

For the total DFT energy (no corrections), the calculation gives -5.552 eV/atom. Its distance to the lowest polymorph of the same formula is 294 kJ/mol of formula units.

---

[2]
Computed, not measured: a geometry-optimized ScMnTlCd structure at the PBE level of DFT.

Cell lengths 4.856, 4.856, 4.856 Å; angles 60.00, 60.00, 60.00 degrees
Atoms (fractional coordinates):
Sc 0.000 0.000 0.000
Mn 0.500 0.500 0.500
Tl 0.250 0.250 0.250
Cd 0.750 0.750 0.750

For the total DFT energy (no corrections), the calculation gives -4.659 eV/atom.

---

[3]
Computed, not measured: a geometry-optimized KZrCo structure at the PBE level of DFT.

Cell lengths 3.476, 3.476, 7.595 Å; angles 90.00, 90.00, 120.00 degrees
Atoms (fractional coordinates):
K 0.000 0.000 0.000
Zr 0.667 0.333 0.474
Co 0.333 0.667 0.659

For the total DFT energy (no corrections), the calculation gives -5.062 eV/atom. Its distance to the lowest polymorph of the same formula is 24 kJ/mol of formula units.

---

[4]
Computed, not measured: a geometry-optimized Mg3InPt12 structure at the PBE level of DFT.

Cell lengths 3.985, 3.985, 15.921 Å; angles 90.00, 90.00, 90.00 degrees
Atoms (fractional coordinates):
Mg 0.000 0.000 0.000
Mg 0.000 0.000 0.247
Mg 0.000 0.000 0.753
In 0.000 0.000 0.500
Pt 0.000 0.500 0.123
Pt 0.000 0.500 0.370
Pt 0.000 0.500 0.630
Pt 0.000 0.500 0.877
Pt 0.500 0.000 0.123
Pt 0.500 0.000 0.370
Pt 0.500 0.000 0.630
Pt 0.500 0.000 0.877
Pt 0.500 0.500 0.000
Pt 0.500 0.500 0.247
Pt 0.500 0.500 0.500
Pt 0.500 0.500 0.753

For the total DFT energy (no corrections), the calculation gives -5.546 eV/atom.

---

[5]
Computed, not measured: a geometry-optimized YAsF2 structure at the PBE level of DFT.

Cell lengths 4.448, 4.448, 4.448 Å; angles 60.00, 60.00, 60.00 degrees
Atoms (fractional coordinates):
Y 0.000 0.000 0.000
As 0.500 0.500 0.500
F 0.250 0.250 0.250
F 0.750 0.750 0.750

For the total DFT energy (no corrections), the calculation gives -5.477 eV/atom. The energy relative to the elements, uncorrected comes out at -170.08 kJ/mol of atoms. Its distance to the lowest polymorph of the same formula is 235 kJ/mol of formula units.

---

[6]
Computed, not measured: a geometry-optimized PtWSCl2 structure at the PBE level of DFT.

Cell lengths 4.709, 4.709, 4.684 Å; angles 90.00, 90.00, 90.00 degrees
Atoms (fractional coordinates):
Pt 0.000 0.000 0.000
W 0.500 0.500 0.500
S 0.500 0.500 0.000
Cl 0.000 0.500 0.500
Cl 0.500 0.000 0.500

For the total DFT energy (no corrections), the calculation gives -4.715 eV/atom. The energy relative to the elements, uncorrected comes out at 62.56 kJ/mol of atoms. Its distance to the lowest polymorph of the same formula is 0 kJ/mol of formula units.